# Hf8SbAu2, relaxed, DFT PBE
# Crystal system: monoclinic
# Size of the total moment, Bohr magnetons per cell: 0.00
# Formation energy from raw total energies, eV/atom: -0.11
# Space group: No. 12
data_Hf8SbAu2
_cell_length_a 5.081
_cell_length_b 7.642
_cell_length_c 7.642
_cell_angle_alpha 118.69
_cell_angle_beta 100.36
_cell_angle_gamma 100.36
_symmetry_space_group_name_H-M 'P 1'
_symmetry_Int_Tables_number 1
_symmetry_space_group_name_Hall 'P 1'
loop_
_atom_site_label
_atom_site_fract_x
_atom_site_fract_y
_atom_site_fract_z
Hf1 0.882 0.908 0.684
Hf2 0.882 0.684 0.908
Hf3 0.303 0.596 0.596
Hf4 0.500 0.773 0.227
Hf5 0.500 0.227 0.773
Hf6 0.697 0.404 0.404
Hf7 0.118 0.316 0.092
Hf8 0.118 0.092 0.316
Sb1 0.500 0.000 0.000
Au1 0.000 0.306 0.694
Au2 0.000 0.694 0.306